[1]
Computed, not measured: crystalline BaMg2V2O8 at its relaxed geometry at the PBE with a Hubbard U level of DFT.

Cell: 8.6160 9.8969 9.8969 Å, 79.08 64.20 64.20°
Sites, in units of the cell vectors:
Ba 0.2500 0.5000 0.5000
Ba 0.5000 0.0000 0.0000
Ba 0.7500 0.5000 0.5000
Ba 0.0000 0.0000 0.0000
Mg 0.1681 0.5000 0.1638
Mg 0.4181 0.6638 0.0000
Mg 0.0819 0.3362 0.0000
Mg 0.8319 0.5000 0.8362
Mg 0.5819 0.0000 0.3362
Mg 0.3319 0.8362 0.5000
Mg 0.6681 0.1638 0.5000
Mg 0.9181 0.0000 0.6638
V 0.6250 0.8311 0.6689
V 0.2061 0.1689 0.6689
V 0.0439 0.8311 0.3311
V 0.1250 0.1689 0.3311
V 0.1250 0.6689 0.8311
V 0.5439 0.3311 0.8311
V 0.7061 0.6689 0.1689
V 0.6250 0.3311 0.1689
O 0.3070 0.6643 0.6595
O 0.6308 0.3357 0.3405
O 0.7213 0.1595 0.8357
O 0.7165 0.8405 0.1643
O 0.6192 0.1595 0.1643
O 0.5287 0.6643 0.3405
O 0.5335 0.3357 0.6595
O 0.9430 0.8405 0.8357
O 0.4430 0.8357 0.8405
O 0.1192 0.1643 0.1595
O 0.0287 0.3405 0.6643
O 0.0335 0.6595 0.3357
O 0.1308 0.3405 0.3357
O 0.2213 0.8357 0.1595
O 0.2165 0.1643 0.8405
O 0.8070 0.6595 0.6643
O 0.3315 0.0189 0.3366
O 0.6869 0.9811 0.6634
O 0.1003 0.8366 0.4811
O 0.4181 0.1634 0.5189
O 0.8315 0.3366 0.0189
O 0.9181 0.5189 0.1634
O 0.6003 0.4811 0.8366
O 0.1869 0.6634 0.9811
O 0.3319 0.3366 0.9811
O 0.6497 0.6634 0.0189
O 0.0631 0.5189 0.8366
O 0.4185 0.4811 0.1634
O 0.9185 0.1634 0.4811
O 0.8319 0.9811 0.3366
O 0.1497 0.0189 0.6634
O 0.5631 0.8366 0.5189

Results
The value obtained for the total energy is -365.4 eV/cell. Its symmetry is I4_1/acd, No. 142. The total magnetic moment comes out at 0.000 μB/cell.

[2]
Computed, not measured: crystalline Ba2MgVO at its relaxed geometry at the PBE with a Hubbard U level of DFT.

Cell: 6.8738 3.7299 6.8738 Å, 90.00 90.00 90.00°
Site moments in Bohr magnetons follow the coordinates.
Sites, in units of the cell vectors:
Mg 0.5000 0.5000 0.5000  0.02
Ba 0.0000 0.0000 0.5000  0.10
Ba 0.5000 0.0000 0.0000  0.12
O 0.0000 0.5000 0.0000  0.00
V 0.0000 0.0000 0.0000  0.09

Results
The value obtained for the total energy is -18.7 eV/cell. Its symmetry is P4/mmm, No. 123. The total magnetic moment comes out at 1.091 μB/cell.

[3]
Computed, not measured: crystalline BaMg3V4O12 at its relaxed geometry at the PBE with a Hubbard U level of DFT.

Cell: 6.9680 6.9680 6.9680 Å, 109.62 109.62 109.62°
Site moments in Bohr magnetons follow the coordinates.
Sites, in units of the cell vectors:
Ba 0.0000 0.0000 0.0000  0.03
Mg 0.5643 0.4357 0.0000  0.00
Mg 0.4357 0.0000 0.5643  0.00
Mg 0.0000 0.5643 0.4357  0.00
V 0.9347 0.0653 0.5000  1.06
V 0.0653 0.5000 0.9347  1.06
V 0.5000 0.9347 0.0653  1.06
V 0.5000 0.5000 0.5000  0.94
O 0.5000 0.3483 0.6517  -0.06
O 0.9116 0.5000 0.0884  -0.07
O 0.0884 0.9116 0.5000  -0.07
O 0.5000 0.0884 0.9116  -0.07
O 0.3328 0.8861 0.2167  -0.03
O 0.2167 0.3328 0.8861  -0.03
O 0.8861 0.2167 0.3328  -0.03
O 0.6672 0.7833 0.1139  -0.03
O 0.1139 0.6672 0.7833  -0.03
O 0.7833 0.1139 0.6672  -0.03
O 0.6517 0.5000 0.3483  -0.06
O 0.3483 0.6517 0.5000  -0.06

Results
The value obtained for the total energy is -138.6 eV/cell. Its symmetry is R32, No. 155. The total magnetic moment comes out at 4.000 μB/cell.

[4]
Computed, not measured: crystalline BaMgV2O6 at its relaxed geometry at the PBE with a Hubbard U level of DFT.

Cell: 5.2002 5.2002 7.0201 Å, 68.26 68.26 60.00°
Site moments in Bohr magnetons follow the coordinates.
Sites, in units of the cell vectors:
Ba 0.0000 0.0000 0.0000  0.00
Mg 0.5000 0.5000 0.5000  0.00
V 0.8239 0.8239 0.5284  1.00
V 0.1761 0.1761 0.4716  1.00
O 0.0948 0.4433 0.6638  -0.01
O 0.7981 0.0948 0.6638  -0.01
O 0.5567 0.2019 0.3362  -0.01
O 0.9052 0.5567 0.3362  -0.01
O 0.2019 0.9052 0.3362  -0.01
O 0.4433 0.7981 0.6638  -0.01

Results
The value obtained for the total energy is -71.6 eV/cell. Its symmetry is R-3, No. 148. The total magnetic moment comes out at 2.000 μB/cell.

[5]
Computed, not measured: crystalline Ba3MgV2O9 at its relaxed geometry at the PBE with a Hubbard U level of DFT.

Cell: 5.6972 5.6972 6.9949 Å, 90.00 90.00 120.00°
Sites, in units of the cell vectors:
Ba 0.3333 0.6667 0.6755
Ba 0.0000 0.0000 0.0000
Ba 0.6667 0.3333 0.3245
Mg 0.0000 0.0000 0.5000
V 0.3333 0.6667 0.1791
V 0.6667 0.3333 0.8209
O 0.8237 0.1763 0.6795
O 0.8237 0.6474 0.6795
O 0.3526 0.1763 0.6795
O 0.6474 0.8237 0.3205
O 0.1763 0.3526 0.3205
O 0.1763 0.8237 0.3205
O 0.5000 0.0000 0.0000
O 0.0000 0.5000 0.0000
O 0.5000 0.5000 0.0000

Results
The value obtained for the total energy is -103.9 eV/cell. Its symmetry is P-3m1, No. 164. The total magnetic moment comes out at 0.000 μB/cell.

[6]
Computed, not measured: crystalline BaMgV2ZnO8 at its relaxed geometry at the PBE with a Hubbard U level of DFT.

Cell: 8.5872 9.9207 9.9207 Å, 79.25 64.35 64.35°
Sites, in units of the cell vectors:
Ba 0.5016 0.6238 0.1235
Ba 0.0016 0.6235 0.1238
Ba 0.2511 0.1238 0.6235
Ba 0.7511 0.1235 0.6238
Mg 0.3300 0.1260 0.9621
Mg 0.8300 0.4621 0.6260
Mg 0.0819 0.6260 0.4621
Mg 0.5819 0.9621 0.1260
V 0.0447 0.9553 0.9553
V 0.5447 0.4553 0.4553
V 0.2049 0.2951 0.2951
V 0.7049 0.7951 0.7951
V 0.6269 0.7940 0.4546
V 0.6245 0.2940 0.9546
V 0.1245 0.4546 0.7940
V 0.1269 0.9546 0.2940
Zn 0.6683 0.1254 0.2894
Zn 0.1683 0.7894 0.6254
Zn 0.4169 0.6254 0.7894
Zn 0.9169 0.2894 0.1254
O 0.2219 0.7843 0.9615
O 0.7219 0.4615 0.2843
O 0.5323 0.2843 0.4615
O 0.0323 0.9615 0.7843
O 0.2166 0.4656 0.2904
O 0.7166 0.7904 0.9656
O 0.5275 0.9656 0.7904
O 0.0275 0.2904 0.4656
O 0.6206 0.7896 0.2835
O 0.4407 0.4646 0.9615
O 0.8062 0.2896 0.7835
O 0.6332 0.9646 0.4615
O 0.9407 0.4615 0.9646
O 0.1206 0.7835 0.2896
O 0.1332 0.9615 0.4646
O 0.3062 0.2835 0.7896
O 0.8333 0.9604 0.1049
O 0.3333 0.6049 0.4604
O 0.6014 0.4604 0.6049
O 0.1014 0.1049 0.9604
O 0.1496 0.2896 0.1439
O 0.6496 0.6439 0.7896
O 0.9169 0.7896 0.6439
O 0.4169 0.1439 0.2896
O 0.8317 0.6437 0.4621
O 0.6858 0.2906 0.1046
O 0.5625 0.1437 0.9621
O 0.4189 0.7906 0.6046
O 0.1858 0.6046 0.7906
O 0.3317 0.9621 0.1437
O 0.9189 0.1046 0.2906
O 0.0625 0.4621 0.6437

Results
The value obtained for the total energy is -352.3 eV/cell. Its symmetry is Iba2, No. 45. The total magnetic moment comes out at 0.000 μB/cell.

[7]
Computed, not measured: crystalline Ba3MgW2O9 at its relaxed geometry at the PBE with a Hubbard U level of DFT.

Cell: 5.8862 5.8862 7.0787 Å, 90.00 90.00 120.00°
Site moments in Bohr magnetons follow the coordinates.
Sites, in units of the cell vectors:
Ba 0.3333 0.6667 0.6615  0.00
Ba 0.0000 0.0000 0.0000  0.01
Ba 0.6667 0.3333 0.3385  0.00
Mg 0.0000 0.0000 0.5000  0.00
W 0.3333 0.6667 0.1736  0.94
W 0.6667 0.3333 0.8264  0.94
O 0.8294 0.1706 0.6776  0.01
O 0.8294 0.6588 0.6776  0.01
O 0.3412 0.1706 0.6776  0.01
O 0.6588 0.8294 0.3224  0.01
O 0.1706 0.3412 0.3224  0.01
O 0.1706 0.8294 0.3224  0.01
O 0.5000 0.0000 0.0000  0.02
O 0.0000 0.5000 0.0000  0.02
O 0.5000 0.5000 0.0000  0.02

Results
The value obtained for the total energy is -104.9 eV/cell. Its symmetry is P-3m1, No. 164. The total magnetic moment comes out at 2.000 μB/cell.

[8]
Computed, not measured: crystalline BaMgW4O8 at its relaxed geometry at the PBE with a Hubbard U level of DFT.

Cell: 5.7475 5.7475 7.3054 Å, 90.00 90.00 120.00°
Site moments in Bohr magnetons follow the coordinates.
Sites, in units of the cell vectors:
Ba 0.0000 0.0000 0.0000  0.03
Mg 0.0000 0.0000 0.5000  0.01
W 0.3333 0.6667 0.7165  2.44
W 0.6667 0.3333 0.7165  2.44
W 0.3333 0.6667 0.2835  2.44
W 0.6667 0.3333 0.2835  2.44
O 0.2902 0.2902 0.6835  0.03
O 0.7098 0.0000 0.6835  0.03
O 0.0000 0.7098 0.6835  0.03
O 0.7098 0.7098 0.3165  0.03
O 0.0000 0.2902 0.3165  0.03
O 0.2902 0.0000 0.3165  0.03
O 0.3333 0.6667 0.0000  0.11
O 0.6667 0.3333 0.0000  0.11

Results
The value obtained for the total energy is -93.1 eV/cell. Its symmetry is P-31m, No. 162. The total magnetic moment comes out at 11.981 μB/cell.